Entry 1:
The following is a DFT calculation (PBE) of a geometry-optimized Sm2Ge3Rh2 structure.

Computed properties:
VASP energy ... -6.18 eV per atom
Volume ... 271.5 Å³ per cell
Energy relative to the lowest polymorph listed for this composition ... 0.72 eV per formula unit
ΔE_f ... -5.3 eV per formula unit
Magnetization ... 0.0 μB/cell

```
data_Sm2Ge3Rh2
_symmetry_space_group_name_H-M 'C 1 2/m 1'
_symmetry_Int_Tables_number 12
_cell_length_a 10.304
_cell_length_b 4.265
_cell_length_c 6.798
_cell_angle_alpha 90.00
_cell_angle_beta 114.67
_cell_angle_gamma 90.00
loop_
_symmetry_equiv_pos_as_xyz
'x,y,z'
'-x,-y,-z'
'-x,y,-z'
'x,-y,z'
'x+1/2,y+1/2,z'
'-x+1/2,-y+1/2,-z'
'-x+1/2,y+1/2,-z'
'x+1/2,-y+1/2,z'
loop_
_atom_site_label
_atom_site_type_symbol
_atom_site_fract_x
_atom_site_fract_y
_atom_site_fract_z
_atom_site_occupancy
Sm1 Sm 0.151 0.000 0.275 1
Ge1 Ge 0.000 0.500 0.500 1
Ge2 Ge 0.122 0.500 0.946 1
Rh1 Rh 0.132 0.000 0.723 1
```

***

Entry 2:
The following is a DFT calculation (PBE) of a geometry-optimized YSiBr structure.

Computed properties:
VASP energy ... -4.99 eV per atom
Volume ... 87.7 Å³ per cell
Magnetization ... 0.0 μB/cell
Formation energy (no corrections) ... -1.42 eV/f.u.

```
data_YSiBr
_symmetry_space_group_name_H-M 'P 3 m 1'
_symmetry_Int_Tables_number 156
_cell_length_a 3.6841
_cell_length_b 3.6841
_cell_length_c 7.4634
_cell_angle_alpha 90.00
_cell_angle_beta 90.00
_cell_angle_gamma 120.00
loop_
_symmetry_equiv_pos_as_xyz
'x,y,z'
'-y,x-y,z'
'-x+y,-x,z'
'-y,-x,z'
'-x+y,y,z'
'x,x-y,z'
loop_
_atom_site_label
_atom_site_type_symbol
_atom_site_fract_x
_atom_site_fract_y
_atom_site_fract_z
_atom_site_occupancy
Y1 Y 0.0000 0.0000 0.0000 1
Si1 Si 0.6667 0.3333 0.7280 1
Br1 Br 0.3333 0.6667 0.2613 1
```

***

Entry 3:
The following is a DFT calculation (PBE) of a geometry-optimized SrTlS2 structure.

Computed properties:
VASP energy ... -4.07 eV per atom
Volume ... 327.8 Å³ per cell
Magnetization ... 0.0 μB/cell
Formation energy (no corrections) ... -3.97 eV/f.u.

```
data_SrTlS2
_symmetry_space_group_name_H-M 'R 3 m'
_symmetry_Int_Tables_number 160
_symmetry_space_group_name_Hall 'R 3 -2"'
_cell_length_a 4.1832
_cell_length_b 4.1832
_cell_length_c 21.6314
_cell_angle_alpha 90.00
_cell_angle_beta 90.00
_cell_angle_gamma 120.00
loop_
_atom_site_label
_atom_site_type_symbol
_atom_site_fract_x
_atom_site_fract_y
_atom_site_fract_z
_atom_site_occupancy
Sr1 Sr 0.0000 0.0000 0.0000 1
Tl1 Tl 0.0000 0.0000 0.8316 1
S1 S 0.0000 0.0000 0.2504 1
S2 S 0.0000 0.0000 0.4164 1
```

***

Entry 4:
The following is a DFT calculation (PBE) of a geometry-optimized Ge2Se3 structure.

Computed properties:
VASP energy ... -4.13 eV per atom
Volume ... 356.7 Å³ per cell
Energy relative to the lowest polymorph listed for this composition ... 0.00 eV per formula unit
Magnetization ... 0.0 μB/cell
Formation energy (no corrections) ... -0.98 eV/f.u.

```
data_Ge2Se3
_symmetry_space_group_name_H-M 'R -3 m'
_symmetry_Int_Tables_number 166
_symmetry_space_group_name_Hall '-R 3 2"'
_cell_length_a 3.7408
_cell_length_b 3.7408
_cell_length_c 29.4359
_cell_angle_alpha 90.00
_cell_angle_beta 90.00
_cell_angle_gamma 120.00
loop_
_atom_site_label
_atom_site_type_symbol
_atom_site_fract_x
_atom_site_fract_y
_atom_site_fract_z
_atom_site_occupancy
Ge1 Ge 0.0000 0.0000 0.1067 1
Se1 Se 0.0000 0.0000 0.2755 1
Se2 Se 0.0000 0.0000 0.5000 1
```

***

Entry 5:
The following is a DFT calculation (PBE) of a geometry-optimized TbZrBeZn structure.

Computed properties:
VASP energy ... -4.60 eV per atom
Volume ... 308.9 Å³ per cell
ΔE_f ... -0.2 eV per formula unit
Magnetization ... 0.0 μB/cell

```
data_TbZrBeZn
_symmetry_space_group_name_H-M 'F -4 3 m'
_symmetry_Int_Tables_number 216
_symmetry_space_group_name_Hall 'F -4 2 3'
_cell_length_a 6.760
_cell_length_b 6.760
_cell_length_c 6.760
_cell_angle_alpha 90.00
_cell_angle_beta 90.00
_cell_angle_gamma 90.00
loop_
_atom_site_label
_atom_site_type_symbol
_atom_site_fract_x
_atom_site_fract_y
_atom_site_fract_z
_atom_site_occupancy
Tb1 Tb 0.000 0.000 0.000 1
Zr1 Zr 0.000 0.000 0.500 1
Be1 Be 0.250 0.250 0.250 1
Zn1 Zn 0.250 0.250 0.750 1
```

***

Entry 6:
The following is a DFT calculation (PBE) of a geometry-optimized YCr3Si structure.

Computed properties:
VASP energy ... -5.97 eV per atom
Volume ... 116.7 Å³ per cell
Energy relative to the lowest polymorph listed for this composition ... 8.20 eV per formula unit
Magnetization ... 10.6 μB/cell
Formation energy (no corrections) ... 10.89 eV/f.u.

```
data_YCr3Si
_symmetry_space_group_name_H-M 'P m -3 m'
_symmetry_Int_Tables_number 221
_symmetry_space_group_name_Hall '-P 4 2 3'
_cell_length_a 4.887
_cell_length_b 4.887
_cell_length_c 4.887
_cell_angle_alpha 90.00
_cell_angle_beta 90.00
_cell_angle_gamma 90.00
loop_
_atom_site_label
_atom_site_type_symbol
_atom_site_fract_x
_atom_site_fract_y
_atom_site_fract_z
_atom_site_occupancy
Y1 Y 0.000 0.000 0.000 1
Cr1 Cr 0.000 0.000 0.500 1
Si1 Si 0.500 0.500 0.500 1
```